# 1
DFT (GGA-PBE) results for a geometry-optimized Nd2Tl3Sn structure.

Size of the total moment   0.00 μB/f.u.
VASP energy   -3.742 eV per atom

Unit cell a=3.6068 b=5.2481 c=9.1051 alpha=90.00 beta=90.00 gamma=90.00
Closest atoms and distances in Å follow each position.
Space group Pmm2 (No. 25)
Inequivalent atoms, fractional coordinates:
Nd1 0.0000 0.0000 0.0000 (multiplicity 1)  10 Tl 3.49-3.57, 2 Sn 3.49, 2 Nd 3.61
Nd2 0.0000 0.5000 0.4880 (multiplicity 1)  4 Sn 3.50, 8 Tl 3.51-3.56, 2 Nd 3.61
Tl1 0.5000 0.0000 0.6617 (multiplicity 1)  2 Tl 3.01, 1 Sn 3.03
Tl2 0.5000 0.5000 0.1576 (multiplicity 1)  1 Tl 3.03, 2 Sn 3.05
Tl3 0.5000 0.5000 0.8248 (multiplicity 1)  3 Tl 3.01-3.03
Sn1 0.5000 0.0000 0.3286 (multiplicity 1)  3 Tl 3.03-3.05

=====

# 2
DFT (GGA-PBE) results for a geometry-optimized Nd6Tl6Sn structure.

Size of the total moment   0.01 μB/f.u.
VASP energy   -3.863 eV per atom

Unit cell a=6.6509 b=6.6509 c=10.7155 alpha=90.00 beta=90.00 gamma=120.00
Closest atoms and distances in Å follow each position.
Space group P6/mmm (No. 191)
Inequivalent atoms, fractional coordinates:
Nd1 0.0000 0.0000 0.2031 (multiplicity 2)  1 Sn 3.18, 6 Tl 3.36
Nd2 0.3333 0.6667 0.0000 (multiplicity 2)  6 Tl 3.27
Nd3 0.3333 0.6667 0.5000 (multiplicity 2)  6 Tl 3.32
Tl1 0.0000 0.5000 0.2472 (multiplicity 6)  6 Nd 3.27-3.36, 4 Tl 3.33
Sn1 0.0000 0.0000 0.5000 (multiplicity 1)  2 Nd 3.18

=====

no.,energy of formation (eV per atom)
1,-0.30
2,-0.26